Entry 1:
Computed, not measured: crystalline ZrInHg3Se4 at its relaxed geometry at the PBE level of DFT.

```
ZrInHg3Se4
1.0
6.916 0.000 0.000
0.000 6.916 0.000
0.000 0.000 6.916
Zr In Hg Se
1 1 3 4
Direct
0.000 0.000 0.000 Zr
0.500 0.500 0.500 In
0.000 0.000 0.500 Hg
0.000 0.500 0.000 Hg
0.500 0.000 0.000 Hg
0.216 0.216 0.784 Se
0.216 0.784 0.216 Se
0.784 0.216 0.216 Se
0.784 0.784 0.784 Se
```

Output
The value obtained for the calculated volume is 331 Å³/cell. The value obtained for the spin magnetization is 0.00 μB per cell. The value obtained for the total energy is -3.187 eV/atom.

Entry 2:
Computed, not measured: crystalline Na2NbPS4 at its relaxed geometry at the PBE level of DFT.

```
Na2NbPS4
1.0
3.456 0.000 0.000
-1.728 2.993 0.000
0.000 0.000 14.214
Na Nb P S
2 1 1 4
Direct
0.000 0.000 0.250 Na
0.000 0.000 0.750 Na
0.000 0.000 0.000 Nb
0.000 0.000 0.500 P
0.333 0.667 0.109 S
0.333 0.667 0.891 S
0.667 0.333 0.392 S
0.667 0.333 0.608 S
```

Output
The value obtained for the calculated volume is 147 Å³/cell. The value obtained for the spin magnetization is 0.00 μB per cell. The value obtained for the total energy is -5.014 eV/atom.

Entry 3:
Computed, not measured: crystalline ErAgPbS3 at its relaxed geometry at the PBE level of DFT.

```
ErAgPbS3
1.0
2.005 -6.589 0.000
2.005 6.589 0.000
0.000 0.000 10.351
Er Ag Pb S
2 2 2 6
Direct
0.000 0.000 0.000 Er
0.000 0.000 0.500 Er
0.462 0.538 0.750 Ag
0.538 0.462 0.250 Ag
0.251 0.749 0.250 Pb
0.749 0.251 0.750 Pb
0.086 0.914 0.750 S
0.361 0.639 0.548 S
0.361 0.639 0.952 S
0.639 0.361 0.048 S
0.639 0.361 0.452 S
0.914 0.086 0.250 S
```

Output
The value obtained for the calculated volume is 274 Å³/cell. The value obtained for the spin magnetization is 0.01 μB per cell. The value obtained for the total energy is -4.923 eV/atom.

Entry 4:
Computed, not measured: crystalline ErNbNi at its relaxed geometry at the PBE level of DFT.

```
ErNbNi
1.0
0.000 3.130 3.130
3.130 0.000 3.130
3.130 3.130 0.000
Er Nb Ni
1 1 1
Direct
0.000 0.000 0.000 Er
0.500 0.500 0.500 Nb
0.250 0.250 0.250 Ni
```

Output
Its calculated formation energy is 0.277 eV/atom. The value obtained for the calculated volume is 61 Å³/cell. The value obtained for the spin magnetization is 0.83 μB per cell.

Entry 5:
Computed, not measured: crystalline Y2Ho2CBr4F at its relaxed geometry at the PBE level of DFT.

```
Y2Ho2CBr4F
1.0
8.804 -1.833 0.000
8.804 1.833 0.000
-1.478 0.000 7.339
Y Ho C Br F
2 2 1 4 1
Direct
0.139 0.139 0.074 Y
0.861 0.861 0.926 Y
0.498 0.498 0.224 Ho
0.502 0.502 0.776 Ho
0.000 0.000 0.000 C
0.328 0.328 0.190 Br
0.339 0.339 0.635 Br
0.661 0.661 0.365 Br
0.672 0.672 0.810 Br
0.000 0.000 0.500 F
```

Output
The value obtained for the calculated volume is 237 Å³/cell. The value obtained for the spin magnetization is 0.02 μB per cell. The value obtained for the total energy is -5.589 eV/atom.

Entry 6:
Computed, not measured: crystalline LiCd3Cl2 at its relaxed geometry at the PBE level of DFT.

```
LiCd3Cl2
1.0
2.902 -5.033 0.000
2.902 5.033 0.000
0.000 0.000 5.043
Li Cd Cl
1 3 2
Direct
0.000 0.000 0.000 Li
0.000 0.500 0.500 Cd
0.500 0.000 0.500 Cd
0.500 0.500 0.500 Cd
0.334 0.666 0.000 Cl
0.666 0.334 0.000 Cl
```

Output
The value obtained for the calculated volume is 147 Å³/cell. The value obtained for the total energy is -1.716 eV/atom.

Entry 7:
Computed, not measured: crystalline ThReBr at its relaxed geometry at the PBE level of DFT.

```
ThReBr
1.0
4.177 0.000 0.000
-2.086 3.619 0.000
-1.257 -1.588 11.937
Th Re Br
2 2 2
Direct
0.000 0.000 0.000 Th
0.183 0.154 0.353 Th
0.439 0.756 0.204 Re
0.747 0.401 0.154 Re
0.575 0.257 0.825 Br
0.937 0.562 0.521 Br
```

Output
The value obtained for the calculated volume is 180 Å³/cell. The value obtained for the spin magnetization is 0.01 μB per cell. The value obtained for the total energy is -7.959 eV/atom.

Entry 8:
Computed, not measured: crystalline ErNi2Te at its relaxed geometry at the PBE level of DFT.

```
ErNi2Te
1.0
4.165 0.000 0.000
0.000 6.267 0.000
0.000 0.000 5.442
Er Ni Te
2 4 2
Direct
0.000 0.084 0.000 Er
0.500 0.916 0.500 Er
0.000 0.250 0.502 Ni
0.000 0.665 0.272 Ni
0.500 0.335 0.772 Ni
0.500 0.750 0.002 Ni
0.000 0.612 0.768 Te
0.500 0.388 0.268 Te
```

Output
The value obtained for the calculated volume is 142 Å³/cell. The value obtained for the spin magnetization is 0.00 μB per cell. The value obtained for the total energy is -5.182 eV/atom.

Entry 9:
Computed, not measured: crystalline YBeNbFe at its relaxed geometry at the PBE level of DFT.

```
YBeNbFe
1.0
0.000 3.206 3.206
3.206 0.000 3.206
3.206 3.206 0.000
Y Be Nb Fe
1 1 1 1
Direct
0.000 0.000 0.000 Y
0.250 0.250 0.250 Be
0.500 0.500 0.500 Nb
0.750 0.750 0.750 Fe
```

Output
The value obtained for the calculated volume is 66 Å³/cell. The value obtained for the spin magnetization is 0.07 μB per cell. The value obtained for the total energy is -6.931 eV/atom.

Entry 10:
Computed, not measured: crystalline Y2AgB at its relaxed geometry at the PBE level of DFT.

```
Y2AgB
1.0
0.000 3.418 3.418
3.418 0.000 3.418
3.418 3.418 0.000
Y Ag B
2 1 1
Direct
0.000 0.000 0.000 Y
0.250 0.250 0.250 Y
0.750 0.750 0.750 Ag
0.500 0.500 0.500 B
```

Output
The value obtained for the calculated volume is 80 Å³/cell. The value obtained for the spin magnetization is 0.70 μB per cell. The value obtained for the total energy is -4.845 eV/atom.

Entry 11:
Computed, not measured: crystalline DyErPBr2 at its relaxed geometry at the PBE level of DFT.

```
DyErPBr2
1.0
3.979 0.000 0.000
-1.990 3.446 0.000
0.000 0.000 10.785
Dy Er P Br
1 1 1 2
Direct
0.000 0.000 0.000 Dy
0.667 0.333 0.720 Er
0.333 0.667 0.858 P
0.000 0.000 0.552 Br
0.667 0.333 0.170 Br
```

Output
The value obtained for the calculated volume is 148 Å³/cell. The value obtained for the spin magnetization is 0.01 μB per cell. The value obtained for the total energy is -5.348 eV/atom.

Entry 12:
Computed, not measured: crystalline AgBi2Se3F at its relaxed geometry at the PBE level of DFT.

```
AgBi2Se3F
1.0
7.840 0.000 0.000
0.000 4.066 0.000
-3.341 0.000 10.672
Ag Bi Se F
2 4 6 2
Direct
0.040 0.250 0.413 Ag
0.960 0.750 0.587 Ag
0.217 0.250 0.954 Bi
0.489 0.750 0.667 Bi
0.511 0.250 0.333 Bi
0.783 0.750 0.046 Bi
0.043 0.250 0.152 Se
0.226 0.250 0.682 Se
0.298 0.750 0.419 Se
0.702 0.250 0.581 Se
0.774 0.750 0.318 Se
0.957 0.750 0.848 Se
0.381 0.750 0.056 F
0.619 0.250 0.944 F
```

Output
The value obtained for the calculated volume is 340 Å³/cell. The value obtained for the total energy is -3.969 eV/atom.